No. 1
Below is crystalline NbIrRu3 at its relaxed geometry, with properties calculated at the PBE level.

Cell: 5.3227 5.3227 5.0767 Å, 58.38 58.38 60.00°
Last column: magnetic moment on the atom in μB.
Positions (direct):
1 Ru 0.9750 0.9750 0.5750  0.49
2 Ru 0.9750 0.4750 0.5750  0.49
3 Ru 0.4750 0.9750 0.5750  0.49
4 Ir 0.9750 0.9750 0.0750  0.31
5 Nb 0.4750 0.4750 0.5750  -0.16

* total DFT energy (no corrections): -0.6064 Ry per atom
* energy above the lowest structure with this stoichiometry: 0.000 eV/f.u.
* calculated formation energy: 1100.9 meV per atom

No. 2
Below is crystalline Nb2Ir3Ru2 at its relaxed geometry, with properties calculated at the PBE level.

Cell: 3.9462 4.8271 7.3291 Å, 57.51 105.62 114.13°
Positions (direct):
1 Ir 0.5782 0.4405 0.7159
2 Ir 0.0000 0.0000 0.0000
3 Ir 0.4218 0.5595 0.2841
4 Nb 0.7055 0.2510 0.1601
5 Nb 0.2945 0.7490 0.8399
6 Ru 0.1357 0.8436 0.4278
7 Ru 0.8643 0.1564 0.5722

* total DFT energy (no corrections): -0.7097 Ry per atom
* calculated formation energy: -330.6 meV per atom

No. 3
Below is crystalline NbIr2Ru2 at its relaxed geometry, with properties calculated at the PBE level.

Cell: 7.4714 7.4714 2.7781 Å, 90.00 90.00 90.00°
Positions (direct):
1 Ir 0.3755 0.8755 0.0000
2 Ir 0.8755 0.6245 0.0000
3 Ir 0.1245 0.3755 0.0000
4 Ir 0.6245 0.1245 0.0000
5 Ru 0.1727 0.6727 0.5000
6 Ru 0.6727 0.8273 0.5000
7 Ru 0.3273 0.1727 0.5000
8 Ru 0.8273 0.3273 0.5000
9 Nb 0.5000 0.5000 0.0000
10 Nb 0.0000 0.0000 0.0000

* total DFT energy (no corrections): -0.6820 Ry per atom
* energy above the lowest structure with this stoichiometry: 0.059 eV/f.u.
* calculated formation energy: -10.7 meV per atom

No. 4
Below is crystalline NbIrRu3 at its relaxed geometry, with properties calculated at the PBE level.

Cell: 4.6141 4.6141 4.6141 Å, 90.00 90.00 90.00°
Last column: magnetic moment on the atom in μB.
Positions (direct):
1 Ru 0.0000 0.0000 0.5000  0.80
2 Ru 0.5000 0.0000 0.0000  0.74
3 Ru 0.0000 0.5000 0.0000  0.86
4 Ir 0.5000 0.5000 0.5000  0.56
5 Nb 0.0000 0.0000 0.0000  -0.18

* total DFT energy (no corrections): -0.5474 Ry per atom
* energy above the lowest structure with this stoichiometry: 4.013 eV/f.u.
* calculated formation energy: 1903.4 meV per atom

No. 5
Below is crystalline Nb6IrRu at its relaxed geometry, with properties calculated at the PBE level.

Cell: 4.6146 4.6146 7.2441 Å, 71.43 71.43 90.00°
Positions (direct):
1 Nb 0.3769 0.8769 0.2462
2 Nb 0.2496 0.2496 0.5008
3 Nb 0.7504 0.7504 0.4992
4 Nb 0.6231 0.1231 0.7538
5 Nb 0.1231 0.6231 0.7538
6 Nb 0.8769 0.3769 0.2462
7 Ir 0.5000 0.5000 0.0000
8 Ru 0.0000 0.0000 0.0000

* total DFT energy (no corrections): -0.7390 Ry per atom
* energy above the lowest structure with this stoichiometry: 0.733 eV/f.u.
* calculated formation energy: -234.9 meV per atom

No. 6
Below is crystalline Nb2IrRu3 at its relaxed geometry, with properties calculated at the PBE level.

Cell: 4.3149 9.2315 6.7142 Å, 128.68 90.00 103.52°
Positions (direct):
1 Nb 0.5395 0.0790 0.8797
2 Nb 0.2218 0.4436 0.7322
3 Nb 0.7782 0.5564 0.2678
4 Nb 0.4605 0.9210 0.1203
5 Ir 0.8343 0.6687 0.9296
6 Ir 0.1657 0.3313 0.0704
7 Ru 0.3642 0.7284 0.2652
8 Ru 0.6358 0.2716 0.7348
9 Ru 0.0318 0.0637 0.3847
10 Ru 0.3440 0.6881 0.6180
11 Ru 0.6560 0.3119 0.3820
12 Ru 0.9682 0.9363 0.6153

* total DFT energy (no corrections): -0.6857 Ry per atom
* energy above the lowest structure with this stoichiometry: 0.000 eV/f.u.
* calculated formation energy: 141.9 meV per atom